No. 1
Ca8ZnAu2 | PBE | optimized geometry

Results
N(E_F) = 0.715 states/eV/atom
Magnetic moment = 0.0 μB per formula unit
Energy relative to the elements = -0.34 eV per atom

```
Ca8ZnAu2
1.0
4.625 -6.779 0.000
4.625 6.779 0.000
-1.661 0.000 5.763
Ca Zn Au
8 1 2
Direct
0.000 0.000 0.000
0.039 0.299 0.604
0.140 0.602 0.192
0.299 0.039 0.604
0.440 0.701 0.788
0.602 0.140 0.192
0.701 0.440 0.788
0.739 0.739 0.379
0.370 0.370 0.066
0.054 0.682 0.689
0.682 0.054 0.689
```



No. 2
PbBr | PBE | optimized geometry

Results
N(E_F) = 0.037 states/eV/atom
Formation energy from raw total energies = -0.0905 eV/atom
Magnetic moment = 0.0 μB per formula unit

```
PbBr
1.0
5.531 0.000 0.000
-2.765 4.790 0.000
0.000 0.000 10.817
Pb Br
4 4
Direct
0.333 0.667 0.115
0.333 0.667 0.385
0.667 0.333 0.615
0.667 0.333 0.885
0.000 0.000 0.250
0.000 0.000 0.750
0.333 0.667 0.750
0.667 0.333 0.250
```



No. 3
Hf2Al5Cu2Rh | PBE | optimized geometry

Results
N(E_F) = 0.294 states/eV/atom
Magnetic moment = 0.0 μB per formula unit
Energy relative to the elements = -0.46 eV per atom

```
Hf2Al5Cu2Rh
1.0
9.815 0.000 0.000
0.000 9.815 0.000
0.000 0.000 3.260
Hf Al Cu Rh
4 10 4 2
Direct
0.177 0.323 0.000
0.323 0.823 0.000
0.677 0.177 0.000
0.823 0.677 0.000
0.000 0.500 0.500
0.054 0.803 0.500
0.197 0.054 0.500
0.303 0.554 0.500
0.446 0.303 0.500
0.500 0.000 0.500
0.554 0.697 0.500
0.697 0.446 0.500
0.803 0.946 0.500
0.946 0.197 0.500
0.128 0.628 0.000
0.372 0.128 0.000
0.628 0.872 0.000
0.872 0.372 0.000
0.000 0.000 0.000
0.500 0.500 0.000
```



No. 4
BaEuBi2 | PBE | optimized geometry

Results
ΔE to the lowest computed polymorph = 0 meV/atom
N(E_F) = 1.889 states/eV/atom
Magnetic moment = 6.9 μB per formula unit
Energy relative to the elements = -0.78 eV per atom

```
BaEuBi2
1.0
4.424 0.000 0.000
0.000 4.424 0.000
0.000 0.000 7.441
Ba Eu Bi
1 1 2
Direct
0.000 0.000 0.000
0.000 0.000 0.500
0.500 0.500 0.276
0.500 0.500 0.724
```



No. 5
FeSbTe | PBE | optimized geometry

Results
N(E_F) = 0.487 states/eV/atom
Formation energy from raw total energies = -0.1042 eV/atom
Magnetic moment = 0.6 μB per formula unit

```
FeSbTe
1.0
3.569 0.000 0.000
0.000 5.534 0.000
0.000 0.000 6.375
Fe Sb Te
2 2 2
Direct
0.000 0.245 0.000
0.500 0.755 0.500
0.000 0.462 0.649
0.500 0.538 0.149
0.000 0.048 0.361
0.500 0.952 0.861
```



No. 6
ScAs2SeCl | PBE | optimized geometry

Results
ΔE to the lowest computed polymorph = 0 meV/atom
N(E_F) = 0.551 states/eV/atom
Formation energy from raw total energies = 0.0537 eV/atom
Magnetic moment = 0.0 μB per formula unit

```
ScAs2SeCl
1.0
5.199 0.000 0.000
0.000 5.199 0.000
0.000 0.000 4.991
Sc As Se Cl
1 2 1 1
Direct
0.000 0.000 0.000
0.000 0.500 0.000
0.500 0.000 0.000
0.000 0.000 0.500
0.500 0.500 0.500
```



> magnetic moment of number 3 (Hf2Al5Cu2Rh)?

0.0 μB per formula unit